Entry 1:
# BaTl2Cl4, relaxed, DFT PBE
data_BaTl2Cl4
_cell_length_a 9.410
_cell_length_b 9.410
_cell_length_c 13.165
_cell_angle_alpha 90.00
_cell_angle_beta 90.00
_cell_angle_gamma 90.00
_symmetry_space_group_name_H-M 'P 41 2 2'
_symmetry_Int_Tables_number 91
loop_
_symmetry_equiv_pos_as_xyz
'x,y,z'
'-y,x,z+1/4'
'-x,-y,z+1/2'
'y,-x,z+3/4'
'x,-y,-z+1/2'
'-y,-x,-z+1/4'
'-x,y,-z'
'y,x,-z+3/4'
loop_
_atom_site_label
_atom_site_type_symbol
_atom_site_fract_x
_atom_site_fract_y
_atom_site_fract_z
Ba1 Ba 0.000 0.262 0.000
Tl1 Tl 0.244 0.244 0.375
Tl2 Tl 0.266 0.500 0.750
Cl1 Cl 0.029 0.236 0.766
Cl2 Cl 0.240 0.482 0.997
# ΔE_f (raw)	-11.430	eV/f.u.

=====

Entry 2:
# BaTlCl2, relaxed, DFT PBE
data_BaTlCl2
_cell_length_a 6.201
_cell_length_b 5.394
_cell_length_c 9.385
_cell_angle_alpha 90.00
_cell_angle_beta 90.00
_cell_angle_gamma 90.00
_symmetry_space_group_name_H-M 'A m m 2'
_symmetry_Int_Tables_number 38
loop_
_symmetry_equiv_pos_as_xyz
'x,y,z'
'-x,-y,z'
'-x,y,z'
'x,-y,z'
'x,y+1/2,z+1/2'
'-x,-y+1/2,z+1/2'
'-x,y+1/2,z+1/2'
'x,-y+1/2,z+1/2'
loop_
_atom_site_label
_atom_site_type_symbol
_atom_site_fract_x
_atom_site_fract_y
_atom_site_fract_z
Ba1 Ba 0.000 0.000 0.000
Tl1 Tl 0.500 0.000 0.665
Cl1 Cl 0.000 0.000 0.333
Cl2 Cl 0.500 0.000 0.998
# ΔE_f (raw)	-6.054	eV/f.u.

=====

Entry 3:
# BaTlCl2, relaxed, DFT PBE
data_BaTlCl2
_cell_length_a 7.684
_cell_length_b 8.901
_cell_length_c 5.480
_cell_angle_alpha 90.00
_cell_angle_beta 126.60
_cell_angle_gamma 90.00
_symmetry_space_group_name_H-M 'C 1 2/m 1'
_symmetry_Int_Tables_number 12
loop_
_symmetry_equiv_pos_as_xyz
'x,y,z'
'-x,-y,-z'
'-x,y,-z'
'x,-y,z'
'x+1/2,y+1/2,z'
'-x+1/2,-y+1/2,-z'
'-x+1/2,y+1/2,-z'
'x+1/2,-y+1/2,z'
loop_
_atom_site_label
_atom_site_type_symbol
_atom_site_fract_x
_atom_site_fract_y
_atom_site_fract_z
Ba1 Ba 0.000 0.000 0.000
Tl1 Tl 0.000 0.500 0.000
Cl1 Cl 0.250 0.250 0.500
# ΔE_f (raw)	-5.748	eV/f.u.

=====

Entry 4:
# BaTlCl2, relaxed, DFT PBE
data_BaTlCl2
_cell_length_a 4.490
_cell_length_b 4.582
_cell_length_c 6.463
_cell_angle_alpha 90.00
_cell_angle_beta 90.00
_cell_angle_gamma 90.00
_symmetry_space_group_name_H-M 'P m m 2'
_symmetry_Int_Tables_number 25
loop_
_symmetry_equiv_pos_as_xyz
'x,y,z'
'-x,-y,z'
'-x,y,z'
'x,-y,z'
loop_
_atom_site_label
_atom_site_type_symbol
_atom_site_fract_x
_atom_site_fract_y
_atom_site_fract_z
Ba1 Ba 0.000 0.000 0.000
Tl1 Tl 0.500 0.500 0.617
Cl1 Cl 0.000 0.000 0.474
Cl2 Cl 0.500 0.500 0.114
# ΔE_f (raw)	-5.623	eV/f.u.

=====

Entry 5:
# BaTl5Cl7, relaxed, DFT PBE
data_BaTl5Cl7
_cell_length_a 15.333
_cell_length_b 4.454
_cell_length_c 26.671
_cell_angle_alpha 90.00
_cell_angle_beta 90.02
_cell_angle_gamma 90.00
_symmetry_space_group_name_H-M 'C 1 m 1'
_symmetry_Int_Tables_number 8
loop_
_symmetry_equiv_pos_as_xyz
'x,y,z'
'x,-y,z'
'x+1/2,y+1/2,z'
'x+1/2,-y+1/2,z'
loop_
_atom_site_label
_atom_site_type_symbol
_atom_site_fract_x
_atom_site_fract_y
_atom_site_fract_z
Ba1 Ba 0.000 0.000 0.000
Ba2 Ba 0.078 0.500 0.500
Tl1 Tl 0.001 0.500 0.816
Tl2 Tl 0.029 0.500 0.167
Tl3 Tl 0.049 0.000 0.667
Tl4 Tl 0.077 0.000 0.316
Tl5 Tl 0.236 0.000 0.890
Tl6 Tl 0.264 0.000 0.090
Tl7 Tl 0.274 0.500 0.739
Tl8 Tl 0.305 0.500 0.239
Tl9 Tl 0.314 0.000 0.590
Tl10 Tl 0.343 0.000 0.390
Cl1 Cl 0.000 0.000 0.426
Cl2 Cl 0.079 0.500 0.926
Cl3 Cl 0.108 0.500 0.059
Cl4 Cl 0.143 0.000 0.781
Cl5 Cl 0.166 0.000 0.202
Cl6 Cl 0.171 0.500 0.609
Cl7 Cl 0.219 0.000 0.487
Cl8 Cl 0.222 0.500 0.344
Cl9 Cl 0.356 0.500 0.844
Cl10 Cl 0.359 0.000 0.988
Cl11 Cl 0.408 0.500 0.109
Cl12 Cl 0.412 0.000 0.702
Cl13 Cl 0.436 0.000 0.281
Cl14 Cl 0.470 0.500 0.559
# ΔE_f (raw)	-17.570	eV/f.u.

=====

Entry 6:
# Ba2TlCl, relaxed, DFT PBE
data_Ba2TlCl
_cell_length_a 4.5177
_cell_length_b 4.5177
_cell_length_c 27.7030
_cell_angle_alpha 90.00
_cell_angle_beta 90.00
_cell_angle_gamma 120.00
_symmetry_space_group_name_H-M 'R 3 m'
_symmetry_Int_Tables_number 160
_symmetry_space_group_name_Hall 'R 3 -2"'
loop_
_atom_site_label
_atom_site_type_symbol
_atom_site_fract_x
_atom_site_fract_y
_atom_site_fract_z
Ba1 Ba 0.0000 0.0000 0.0000
Ba2 Ba 0.0000 0.0000 0.1628
Tl1 Tl 0.0000 0.0000 0.5814
Cl1 Cl 0.0000 0.0000 0.7500
# ΔE_f (raw)	-4.186	eV/f.u.

=====

Entry 7:
# Ba2TlCl, relaxed, DFT PBE
data_Ba2TlCl
_cell_length_a 8.518
_cell_length_b 8.518
_cell_length_c 8.518
_cell_angle_alpha 90.00
_cell_angle_beta 90.00
_cell_angle_gamma 90.00
_symmetry_space_group_name_H-M 'F m -3 m'
_symmetry_Int_Tables_number 225
_symmetry_space_group_name_Hall '-F 4 2 3'
loop_
_atom_site_label
_atom_site_type_symbol
_atom_site_fract_x
_atom_site_fract_y
_atom_site_fract_z
Ba1 Ba 0.250 0.250 0.250
Tl1 Tl 0.000 0.000 0.000
Cl1 Cl 0.000 0.000 0.500
# ΔE_f (raw)	-3.426	eV/f.u.

=====

Entry 8:
# Ba2TlCl, relaxed, DFT PBE
data_Ba2TlCl
_cell_length_a 8.678
_cell_length_b 8.678
_cell_length_c 9.600
_cell_angle_alpha 90.00
_cell_angle_beta 90.00
_cell_angle_gamma 90.00
_symmetry_space_group_name_H-M 'I -4 2 d'
_symmetry_Int_Tables_number 122
_symmetry_space_group_name_Hall 'I -4 2bw'
loop_
_atom_site_label
_atom_site_type_symbol
_atom_site_fract_x
_atom_site_fract_y
_atom_site_fract_z
Ba1 Ba 0.218 0.250 0.125
Tl1 Tl 0.000 0.000 0.500
Cl1 Cl 0.000 0.000 0.000
# ΔE_f (raw)	-3.799	eV/f.u.

=====

Entry 9:
# BaTlCl2, relaxed, DFT PBE
data_BaTlCl2
_cell_length_a 4.206
_cell_length_b 4.666
_cell_length_c 14.234
_cell_angle_alpha 90.00
_cell_angle_beta 90.00
_cell_angle_gamma 90.00
_symmetry_space_group_name_H-M 'I m m 2'
_symmetry_Int_Tables_number 44
loop_
_symmetry_equiv_pos_as_xyz
'x,y,z'
'-x,-y,z'
'-x,y,z'
'x,-y,z'
'x+1/2,y+1/2,z+1/2'
'-x+1/2,-y+1/2,z+1/2'
'-x+1/2,y+1/2,z+1/2'
'x+1/2,-y+1/2,z+1/2'
loop_
_atom_site_label
_atom_site_type_symbol
_atom_site_fract_x
_atom_site_fract_y
_atom_site_fract_z
Ba1 Ba 0.000 0.000 0.000
Tl1 Tl 0.000 0.500 0.229
Cl1 Cl 0.000 0.000 0.451
Cl2 Cl 0.000 0.500 0.662
# ΔE_f (raw)	-5.974	eV/f.u.

=====

Entry 10:
# BaTlCl2, relaxed, DFT PBE
data_BaTlCl2
_cell_length_a 4.513
_cell_length_b 4.570
_cell_length_c 6.040
_cell_angle_alpha 90.00
_cell_angle_beta 90.00
_cell_angle_gamma 90.00
_symmetry_space_group_name_H-M 'P m m m'
_symmetry_Int_Tables_number 47
loop_
_symmetry_equiv_pos_as_xyz
'x,y,z'
'-x,-y,-z'
'-x,-y,z'
'x,y,-z'
'x,-y,-z'
'-x,y,z'
'-x,y,-z'
'x,-y,z'
loop_
_atom_site_label
_atom_site_type_symbol
_atom_site_fract_x
_atom_site_fract_y
_atom_site_fract_z
Ba1 Ba 0.000 0.000 0.000
Tl1 Tl 0.000 0.500 0.500
Cl1 Cl 0.500 0.000 0.500
Cl2 Cl 0.500 0.500 0.000
# ΔE_f (raw)	-5.789	eV/f.u.

=====

Entry 11:
# BaTlCl, relaxed, DFT PBE
data_BaTlCl
_cell_length_a 4.290
_cell_length_b 4.290
_cell_length_c 12.756
_cell_angle_alpha 90.00
_cell_angle_beta 90.00
_cell_angle_gamma 90.00
_symmetry_space_group_name_H-M 'I 4 m m'
_symmetry_Int_Tables_number 107
_symmetry_space_group_name_Hall 'I 4 -2'
loop_
_atom_site_label
_atom_site_type_symbol
_atom_site_fract_x
_atom_site_fract_y
_atom_site_fract_z
Ba1 Ba 0.000 0.000 0.000
Tl1 Tl 0.000 0.000 0.699
Cl1 Cl 0.000 0.000 0.439
# ΔE_f (raw)	-3.045	eV/f.u.

=====

Entry 12:
# Ba2TlCl, relaxed, DFT PBE
data_Ba2TlCl
_cell_length_a 5.508
_cell_length_b 4.171
_cell_length_c 13.906
_cell_angle_alpha 90.00
_cell_angle_beta 90.00
_cell_angle_gamma 90.00
_symmetry_space_group_name_H-M 'A m m 2'
_symmetry_Int_Tables_number 38
loop_
_symmetry_equiv_pos_as_xyz
'x,y,z'
'-x,-y,z'
'-x,y,z'
'x,-y,z'
'x,y+1/2,z+1/2'
'-x,-y+1/2,z+1/2'
'-x,y+1/2,z+1/2'
'x,-y+1/2,z+1/2'
loop_
_atom_site_label
_atom_site_type_symbol
_atom_site_fract_x
_atom_site_fract_y
_atom_site_fract_z
Ba1 Ba 0.000 0.000 0.000
Ba2 Ba 0.500 0.000 0.261
Tl1 Tl 0.000 0.000 0.730
Cl1 Cl 0.500 0.000 0.485
# ΔE_f (raw)	-4.114	eV/f.u.

=====

Entry 13:
# Ba7Tl4Cl, relaxed, DFT PBE
data_Ba7Tl4Cl
_cell_length_a 20.745
_cell_length_b 5.986
_cell_length_c 8.761
_cell_angle_alpha 90.00
_cell_angle_beta 107.84
_cell_angle_gamma 90.00
_symmetry_space_group_name_H-M 'C 1 2/m 1'
_symmetry_Int_Tables_number 12
loop_
_symmetry_equiv_pos_as_xyz
'x,y,z'
'-x,-y,-z'
'-x,y,-z'
'x,-y,z'
'x+1/2,y+1/2,z'
'-x+1/2,-y+1/2,-z'
'-x+1/2,y+1/2,-z'
'x+1/2,-y+1/2,z'
loop_
_atom_site_label
_atom_site_type_symbol
_atom_site_fract_x
_atom_site_fract_y
_atom_site_fract_z
Ba1 Ba 0.000 0.000 0.000
Ba2 Ba 0.072 0.500 0.381
Ba3 Ba 0.150 0.500 0.924
Ba4 Ba 0.212 0.000 0.620
Tl1 Tl 0.053 0.000 0.663
Tl2 Tl 0.185 0.000 0.200
Cl1 Cl 0.000 0.500 0.000
# ΔE_f (raw)	-6.919	eV/f.u.

=====

Entry 14:
# BaTlCl2, relaxed, DFT PBE
data_BaTlCl2
_cell_length_a 7.845
_cell_length_b 7.845
_cell_length_c 7.845
_cell_angle_alpha 90.00
_cell_angle_beta 90.00
_cell_angle_gamma 90.00
_symmetry_space_group_name_H-M 'F m -3 m'
_symmetry_Int_Tables_number 225
_symmetry_space_group_name_Hall '-F 4 2 3'
loop_
_atom_site_label
_atom_site_type_symbol
_atom_site_fract_x
_atom_site_fract_y
_atom_site_fract_z
Ba1 Ba 0.000 0.000 0.000
Tl1 Tl 0.000 0.000 0.500
Cl1 Cl 0.250 0.250 0.250
# ΔE_f (raw)	-5.731	eV/f.u.

=====

Entry 15:
# BaTlCl2, relaxed, DFT PBE
data_BaTlCl2
_cell_length_a 7.375
_cell_length_b 7.375
_cell_length_c 14.887
_cell_angle_alpha 90.00
_cell_angle_beta 90.00
_cell_angle_gamma 90.00
_symmetry_space_group_name_H-M 'I -4 2 d'
_symmetry_Int_Tables_number 122
_symmetry_space_group_name_Hall 'I -4 2bw'
loop_
_atom_site_label
_atom_site_type_symbol
_atom_site_fract_x
_atom_site_fract_y
_atom_site_fract_z
Ba1 Ba 0.000 0.000 0.000
Tl1 Tl 0.000 0.000 0.500
Cl1 Cl 0.191 0.250 0.125
# ΔE_f (raw)	-5.476	eV/f.u.

=====

Entry 16:
# BaTlCl, relaxed, DFT PBE
data_BaTlCl
_cell_length_a 15.548
_cell_length_b 4.343
_cell_length_c 7.527
_cell_angle_alpha 90.00
_cell_angle_beta 90.00
_cell_angle_gamma 90.00
_symmetry_space_group_name_H-M 'A m m 2'
_symmetry_Int_Tables_number 38
loop_
_symmetry_equiv_pos_as_xyz
'x,y,z'
'-x,-y,z'
'-x,y,z'
'x,-y,z'
'x,y+1/2,z+1/2'
'-x,-y+1/2,z+1/2'
'-x,y+1/2,z+1/2'
'x,-y+1/2,z+1/2'
loop_
_atom_site_label
_atom_site_type_symbol
_atom_site_fract_x
_atom_site_fract_y
_atom_site_fract_z
Ba1 Ba 0.172 0.000 0.000
Tl1 Tl 0.000 0.000 0.333
Tl2 Tl 0.500 0.000 0.316
Cl1 Cl 0.292 0.000 0.333
# ΔE_f (raw)	-3.236	eV/f.u.

=====

Entry 17:
# BaTlCl2, relaxed, DFT PBE
data_BaTlCl2
_cell_length_a 4.7154
_cell_length_b 4.7154
_cell_length_c 28.7746
_cell_angle_alpha 90.00
_cell_angle_beta 90.00
_cell_angle_gamma 120.00
_symmetry_space_group_name_H-M 'R -3 m'
_symmetry_Int_Tables_number 166
_symmetry_space_group_name_Hall '-R 3 2"'
loop_
_atom_site_label
_atom_site_type_symbol
_atom_site_fract_x
_atom_site_fract_y
_atom_site_fract_z
Ba1 Ba 0.0000 0.0000 0.0000
Tl1 Tl 0.0000 0.0000 0.5000
Cl1 Cl 0.0000 0.0000 0.3829
# ΔE_f (raw)	-6.337	eV/f.u.

=====

Entry 18:
# Ba2TlCl, relaxed, DFT PBE
data_Ba2TlCl
_cell_length_a 8.442
_cell_length_b 8.442
_cell_length_c 8.442
_cell_angle_alpha 90.00
_cell_angle_beta 90.00
_cell_angle_gamma 90.00
_symmetry_space_group_name_H-M 'F -4 3 m'
_symmetry_Int_Tables_number 216
_symmetry_space_group_name_Hall 'F -4 2 3'
loop_
_atom_site_label
_atom_site_type_symbol
_atom_site_fract_x
_atom_site_fract_y
_atom_site_fract_z
Ba1 Ba 0.000 0.000 0.000
Ba2 Ba 0.250 0.250 0.250
Tl1 Tl 0.250 0.250 0.750
Cl1 Cl 0.000 0.000 0.500
# ΔE_f (raw)	-1.644	eV/f.u.

=====

Entry 19:
# Ba2TlCl, relaxed, DFT PBE
data_Ba2TlCl
_cell_length_a 4.568
_cell_length_b 5.179
_cell_length_c 6.973
_cell_angle_alpha 90.00
_cell_angle_beta 90.00
_cell_angle_gamma 90.00
_symmetry_space_group_name_H-M 'P m m 2'
_symmetry_Int_Tables_number 25
loop_
_symmetry_equiv_pos_as_xyz
'x,y,z'
'-x,-y,z'
'-x,y,z'
'x,-y,z'
loop_
_atom_site_label
_atom_site_type_symbol
_atom_site_fract_x
_atom_site_fract_y
_atom_site_fract_z
Ba1 Ba 0.000 0.000 0.000
Ba2 Ba 0.500 0.500 0.499
Tl1 Tl 0.000 0.000 0.500
Cl1 Cl 0.500 0.500 0.001
# ΔE_f (raw)	-4.184	eV/f.u.

=====

Entry 20:
# BaTlCl, relaxed, DFT PBE
data_BaTlCl
_cell_length_a 7.636
_cell_length_b 7.636
_cell_length_c 7.636
_cell_angle_alpha 90.00
_cell_angle_beta 90.00
_cell_angle_gamma 90.00
_symmetry_space_group_name_H-M 'F -4 3 m'
_symmetry_Int_Tables_number 216
_symmetry_space_group_name_Hall 'F -4 2 3'
loop_
_atom_site_label
_atom_site_type_symbol
_atom_site_fract_x
_atom_site_fract_y
_atom_site_fract_z
Ba1 Ba 0.000 0.000 0.000
Tl1 Tl 0.000 0.000 0.500
Cl1 Cl 0.250 0.250 0.250
# ΔE_f (raw)	-2.760	eV/f.u.